Compound: BaTcRh
Source: Alexandria via LeMat-Bulk
Functional: PBE
Structure: optimized geometry

Cell lengths 3.6351, 5.6594, 7.8618 Å; angles 109.93, 102.44, 90.50 degrees
Closest atoms and distances in Å follow each position.
Sites, in units of the cell vectors:
Ba 0.0000 0.0000 0.0000  3 Rh 3.16-3.32, 4 Tc 3.32-3.52
Ba 0.4096 0.3589 0.7102  3 Rh 2.95-3.14
Tc 0.1256 0.6150 0.2421  2 Tc 2.34-2.39
Tc 0.6732 0.8930 0.3558  2 Tc 2.34-2.39, 2 Rh 2.56-2.60
Rh 0.1890 0.7991 0.6041  2 Tc 2.60-2.63
Rh 0.6859 0.3444 0.3551  3 Tc 2.56-2.74

Calculated values
Relative energy among the computed polymorphs   0.90 eV/f.u.
Magnetization   0.0 μB/f.u.
Calculated total energy   -0.4549 Ry per atom
Space-group type   P1 (1)